DFT (PBE) results for a geometry-optimized Cd2Ga2Sb structure.

a = 8.5699 Å, b = 8.5699 Å, c = 3.1521 Å
α = 90.00°, β = 90.00°, γ = 90.00°
Last column: nearest neighbours and their distance in Å.
Space group P4/mbm (No. 127)
Symmetry-distinct sites (fractional):
Cd 0.1833 0.3167 0.0000 (multiplicity 4)  6 Ga 2.92-3.05, 2 Sb 3.14, 2 Cd 3.15
Ga 0.1141 0.6141 0.5000 (multiplicity 4)  1 Ga 2.77, 6 Cd 2.92-3.05
Sb 0.0000 0.0000 0.0000 (multiplicity 2)  4 Cd 3.14, 2 Sb 3.15

Values from the calculation:
Crystal system: tetragonal
Calculated volume, Å³/cell: 231
Spin magnetization, μB/f.u.: 0.00
Formation energy (no corrections), eV/f.u.: 0.4
Distance to the lowest polymorph of the same formula, meV/atom: 0



DFT (PBE) results for a geometry-optimized LuUTc structure.

a = 3.4090 Å, b = 3.4090 Å, c = 10.9250 Å
α = 90.00°, β = 90.00°, γ = 90.00°
Last column: nearest neighbours and their distance in Å.
Space group I4mm (No. 107)
Symmetry-distinct sites (fractional):
Lu 0.0000 0.0000 0.0000 (multiplicity 2)  5 Tc 3.18-3.39, 5 U 3.25-3.28, 4 Lu 3.41
U 0.0000 0.0000 0.3003 (multiplicity 2)  4 Tc 2.70
Tc 0.0000 0.0000 0.6894 (multiplicity 2)  4 U 2.70

Values from the calculation:
Crystal system: tetragonal
Calculated volume, Å³/cell: 127
Energy of formation, meV/atom: -17
Spin magnetization, μB/f.u.: 0.39
Distance to the lowest polymorph of the same formula, meV/atom: 0



DFT (PBE) results for a geometry-optimized YTiPd2 structure.

a = 3.2398 Å, b = 3.2398 Å, c = 7.1331 Å
α = 90.00°, β = 90.00°, γ = 90.00°
Last column: nearest neighbours and their distance in Å.
Space group P4/mmm (No. 123)
Symmetry-distinct sites (fractional):
Y 0.0000 0.0000 0.0000 (multiplicity 1)  8 Pd 3.12, 4 Y 3.24
Ti 0.0000 0.0000 0.5000 (multiplicity 1)  8 Pd 2.71
Pd 0.5000 0.5000 0.2960 (multiplicity 2)  4 Ti 2.71, 1 Pd 2.91

Values from the calculation:
Crystal system: tetragonal
Calculated volume, Å³/cell: 75
Energy of formation, meV/atom: -639
Spin magnetization, μB/f.u.: 0.00
Distance to the lowest polymorph of the same formula, meV/atom: 0



DFT (PBE) results for a geometry-optimized CaZn2GaRh structure.

a = 4.8218 Å, b = 4.8218 Å, c = 4.7201 Å
α = 90.00°, β = 90.00°, γ = 90.00°
Last column: nearest neighbours and their distance in Å.
Space group P4/mmm (No. 123)
Symmetry-distinct sites (fractional):
Ca 0.0000 0.0000 0.0000 (multiplicity 1)  8 Zn 3.37, 4 Ga 3.41
Zn 0.0000 0.5000 0.5000 (multiplicity 2)  2 Rh 2.41
Ga 0.5000 0.5000 0.0000 (multiplicity 1)  2 Rh 2.36
Rh 0.5000 0.5000 0.5000 (multiplicity 1)  2 Ga 2.36, 4 Zn 2.41

Values from the calculation:
Crystal system: tetragonal
Calculated volume, Å³/cell: 110
Energy of formation, meV/atom: -315
Spin magnetization, μB/f.u.: 0.00
Distance to the lowest polymorph of the same formula, meV/atom: 85